[1]
Here is an optimized crystal structure of In3PdRu from Alexandria. Energies are from PBE.

Magnetization = 0.000 μB per atom
Fermi-level density of states = 3.77 states/eV/f.u.
Formation energy from the elements = 0.336 eV/atom
Energy above the most stable polymorph in this dataset = 0.000 eV per atom

Cell: 5.0773 5.0773 5.0773 Å, 90.00 90.00 90.00°
Last column: nearest neighbours and their distance in Å.
Fractional coordinates of all 5 atoms:
1 Ru 0.0000 0.0000 0.0000  6 In 2.54
2 Pd 0.5000 0.5000 0.5000  12 In 3.59
3 In 0.0000 0.5000 0.0000  2 Ru 2.54
4 In 0.0000 0.0000 0.5000  2 Ru 2.54
5 In 0.5000 0.0000 0.0000  2 Ru 2.54

***

[2]
Here is an optimized crystal structure of Sc4InPdRu2 from Alexandria. Energies are from PBE.

Magnetization = 0.000 μB per atom
Fermi-level density of states = 4.25 states/eV/f.u.
Formation energy from the elements = -0.612 eV/atom

Cell: 4.6828 4.6828 8.1283 Å, 73.26 73.26 60.00°
Last column: nearest neighbours and their distance in Å.
Fractional coordinates of all 8 atoms:
1 Sc 0.3803 0.3803 0.8592  1 Pd 2.75, 4 Ru 2.82-2.97, 3 In 2.91
2 Sc 0.8710 0.8710 0.3871  4 Ru 2.81-2.91, 3 Pd 2.84, 1 In 2.97
3 Sc 0.1290 0.1290 0.6129  4 Ru 2.81-2.91, 3 Pd 2.84, 1 In 2.97
4 Sc 0.6197 0.6197 0.1408  1 Pd 2.75, 4 Ru 2.82-2.97, 3 In 2.91
5 In 0.0000 0.0000 0.0000  8 Sc 2.91-2.97
6 Pd 0.5000 0.5000 0.5000  8 Sc 2.75-2.84
7 Ru 0.7489 0.7489 0.7533  8 Sc 2.81-2.97
8 Ru 0.2511 0.2511 0.2467  8 Sc 2.81-2.97

***

[3]
Here is an optimized crystal structure of Sc5In2Pd2Ru from Alexandria. Energies are from PBE.

Magnetization = 0.000 μB per atom
Fermi-level density of states = 4.84 states/eV/f.u.
Formation energy from the elements = -0.604 eV/atom

Cell: 3.2660 11.2360 11.2360 Å, 90.00 90.00 90.00°
Last column: nearest neighbours and their distance in Å.
Fractional coordinates of all 20 atoms:
1 Sc 0.5000 0.1879 0.0616  2 Pd 2.71, 2 Ru 2.76
2 Sc 0.5000 0.8121 0.9384  2 Pd 2.71, 2 Ru 2.76
3 Sc 0.5000 0.0616 0.8121  2 Pd 2.71, 2 Ru 2.76
4 Sc 0.5000 0.6879 0.4384  2 Pd 2.71, 2 Ru 2.76
5 Sc 0.5000 0.9384 0.1879  2 Pd 2.71, 2 Ru 2.76
6 Sc 0.5000 0.3121 0.5616  2 Pd 2.71, 2 Ru 2.76
7 Sc 0.5000 0.5616 0.6879  2 Pd 2.71, 2 Ru 2.76
8 Sc 0.5000 0.4384 0.3121  2 Pd 2.71, 2 Ru 2.76
9 Sc 0.5000 0.5000 0.0000  4 Pd 2.69
10 Sc 0.5000 0.0000 0.5000  4 Pd 2.69
11 In 0.0000 0.6742 0.1742  1 Pd 3.04, 6 Sc 3.21-3.39, 2 In 3.27
12 In 0.0000 0.3258 0.8258  1 Pd 3.04, 6 Sc 3.21-3.39, 2 In 3.27
13 In 0.0000 0.1742 0.3258  1 Pd 3.04, 6 Sc 3.21-3.39, 2 In 3.27
14 In 0.0000 0.8258 0.6742  1 Pd 3.04, 6 Sc 3.21-3.39, 2 In 3.27
15 Pd 0.0000 0.1343 0.6343  6 Sc 2.69-2.71
16 Pd 0.0000 0.8657 0.3657  6 Sc 2.69-2.71
17 Pd 0.0000 0.6343 0.8657  6 Sc 2.69-2.71
18 Pd 0.0000 0.3657 0.1343  6 Sc 2.69-2.71
19 Ru 0.0000 0.0000 0.0000  8 Sc 2.76
20 Ru 0.0000 0.5000 0.5000  8 Sc 2.76

***

[4]
Here is an optimized crystal structure of Sc3In3PdRu2 from Alexandria. Energies are from PBE.

Magnetization = 0.000 μB per atom
Fermi-level density of states = 7.70 states/eV/f.u.
Formation energy from the elements = -0.473 eV/atom

Cell: 3.4225 7.6408 7.6408 Å, 120.00 90.00 90.00°
Last column: nearest neighbours and their distance in Å.
Fractional coordinates of all 9 atoms:
1 Sc 0.0000 0.6004 0.6004  4 Ru 2.90, 6 In 3.00-3.21, 1 Pd 3.05
2 Sc 0.0000 0.0000 0.3996  4 Ru 2.90, 6 In 3.00-3.21, 1 Pd 3.05
3 Sc 0.0000 0.3996 0.0000  4 Ru 2.90, 6 In 3.00-3.21, 1 Pd 3.05
4 In 0.5000 0.7225 0.0000  2 Pd 2.72, 2 Ru 2.78, 2 Sc 3.00
5 In 0.5000 0.0000 0.7225  2 Pd 2.72, 2 Ru 2.78, 2 Sc 3.00
6 In 0.5000 0.2775 0.2775  2 Pd 2.72, 2 Ru 2.78, 2 Sc 3.00
7 Pd 0.0000 0.0000 0.0000  6 In 2.72
8 Ru 0.5000 0.6667 0.3333  3 In 2.78, 6 Sc 2.90
9 Ru 0.5000 0.3333 0.6667  3 In 2.78, 6 Sc 2.90